1.
Compound: Rb2MnInI6
Source: Alexandria
Functional: PBE
Structure: optimized geometry

- DFT total energy (eV/atom) = -3.16
- crystal system = trigonal
- total moment (μB/f.u.) = 4.3
- D(E_F) (states/eV/cell) = 3.3
- calculated volume (Å³/f.u.) = 421

Cell lengths 8.4702, 8.4702, 8.3603 Å; angles 59.56, 59.56, 59.99 degrees
Each line ends with the local moment (μB).
Sites, in units of the cell vectors:
Rb  0.5638  0.5638  0.3087  0.00
Rb  0.0682  0.0681  0.7955  0.00
Mn  0.3161  0.3161  0.0515  4.16
In  0.8161  0.8163  0.5514  -0.10
I  0.5522  0.1344  0.2925  -0.01
I  0.1342  0.0210  0.2927  -0.01
I  0.0210  0.5524  0.2923  -0.01
I  0.4982  0.6114  0.8101  -0.01
I  0.6115  0.0800  0.8104  -0.01
I  0.0803  0.4981  0.8101  -0.01

2.
Compound: MnInRu2I
Source: Alexandria
Functional: PBE
Structure: optimized geometry

- DFT total energy (eV/atom) = -5.21
- crystal system = tetragonal
- total moment (μB/f.u.) = 0.0
- D(E_F) (states/eV/cell) = 6.2
- calculated volume (Å³/f.u.) = 102

Cell lengths 4.5666, 4.9116, 4.5666 Å; angles 90.00, 90.00, 90.00 degrees
Sites, in units of the cell vectors:
I  0.0000  0.5000  0.0000
Ru  0.0000  0.0000  0.5000
Ru  0.5000  0.0000  0.0000
Mn  0.0000  0.0000  0.0000
In  0.5000  0.5000  0.5000

3.
Compound: Mn2InSI
Source: Alexandria
Functional: PBE
Structure: optimized geometry

- DFT total energy (eV/atom) = -4.19
- crystal system = tetragonal
- total moment (μB/f.u.) = 9.5
- D(E_F) (states/eV/cell) = 6.4
- calculated volume (Å³/f.u.) = 162

Cell lengths 5.2812, 5.8182, 5.2812 Å; angles 90.00, 90.00, 90.00 degrees
Each line ends with the local moment (μB).
Sites, in units of the cell vectors:
I  0.0000  0.5000  0.0000  0.07
S  0.5000  0.5000  0.5000  0.06
Mn  0.0000  0.0000  0.5000  4.39
Mn  0.5000  0.0000  0.0000  4.20
In  0.0000  0.0000  0.0000  -0.12